[1]
Here is a geometry-optimized AgAs structure from Alexandria via LeMat-Bulk. Energies are from PBE-GGA.

Computed properties:
Density ... 4.67 Mg/m³
Symmetry ... I-43m (217)
Electronic total energy ... -3.1937 eV/atom
ΔH_f (0 K) ... 0.557 eV/atom

Geometry as POSCAR:
```
AgAs
1.0
-3.5270 -6.6749 -2.7753
5.4824 -0.4571 -5.8678
4.7117 -4.4647 4.7501
Ag As
8 8
Cartesian
4.6903 -2.4258 -4.4224 Ag
5.4384 -9.4594 -3.1756 Ag
5.8623 -5.4752 -1.6410 Ag
2.1048 -3.6611 -1.2291 Ag
4.2037 -4.9562 2.2818 Ag
-0.9983 -6.3518 -2.4698 Ag
2.8256 -6.2899 -4.4148 Ag
2.5415 -7.7670 -0.5012 Ag
3.7124 -5.4317 -0.1055 As
8.3080 -5.1627 -1.3456 As
1.4475 -6.0393 -2.1744 As
1.7755 -9.6712 0.8967 As
3.9243 -4.3299 -3.0245 As
2.3343 -6.7654 -6.8021 As
0.9164 -1.5941 -0.5351 As
4.2500 -7.3924 -2.4817 As
```

---

[2]
Here is a geometry-optimized AgAs5 structure from Alexandria via LeMat-Bulk. Energies are from PBE-GGA.

Computed properties:
Density ... 6.76 Mg/m³
Symmetry ... P4/mmm (123)
Electronic total energy ... -3.9525 eV/atom
ΔH_f (0 K) ... 0.397 eV/atom

Geometry as POSCAR:
```
AgAs5
1.0
2.7879 0.0000 0.0000
0.0000 2.7879 0.0000
0.0000 0.0000 15.2406
As Ag
5 1
Cartesian
0.0000 0.0000 7.6203 As
1.3939 1.3939 5.1638 As
1.3939 1.3939 10.0768 As
0.0000 0.0000 2.3134 As
0.0000 0.0000 12.9272 As
1.3939 1.3939 0.0000 Ag
```

---

[3]
Here is a geometry-optimized AgAs structure from Alexandria via LeMat-Bulk. Energies are from PBE-GGA.

Computed properties:
Density ... 7.27 Mg/m³
Symmetry ... Cmmm (65)
Electronic total energy ... -3.6102 eV/atom
ΔH_f (0 K) ... 0.140 eV/atom

Geometry as POSCAR:
```
AgAs
1.0
6.0765 0.0000 0.0000
0.0000 5.9862 0.0000
0.0000 0.0000 4.5917
Ag As
4 4
Cartesian
1.5191 4.4896 2.2958 Ag
1.5191 1.4965 2.2958 Ag
4.5574 1.4965 2.2958 Ag
4.5574 4.4896 2.2958 Ag
4.8130 0.0000 0.0000 As
4.3018 2.9931 0.0000 As
1.7747 2.9931 0.0000 As
1.2635 0.0000 0.0000 As
```

---

[4]
Here is a geometry-optimized Ag2As structure from Alexandria via LeMat-Bulk. Energies are from PBE-GGA.

Computed properties:
Density ... 8.73 Mg/m³
Symmetry ... P-3m1 (164)
Electronic total energy ... -3.3108 eV/atom
ΔH_f (0 K) ... 0.140 eV/atom

Geometry as POSCAR:
```
Ag2As
1.0
-1.8681 2.1040 1.1888
0.9863 -2.3178 1.7277
5.4108 3.7255 1.9091
Ag As
2 1
Cartesian
2.7012 3.1211 2.6450 Ag
1.8277 0.3906 2.1807 Ag
0.0000 0.0000 0.0000 As
```

---

[5]
Here is a geometry-optimized Ag2As structure from Alexandria via LeMat-Bulk. Energies are from PBE-GGA.

Computed properties:
Density ... 8.69 Mg/m³
Symmetry ... C2/m (12)
Electronic total energy ... -3.3334 eV/atom
ΔH_f (0 K) ... 0.117 eV/atom

Geometry as POSCAR:
```
Ag2As
1.0
1.4870 5.4697 0.0416
-1.4870 5.4697 0.0416
0.0000 2.7599 6.8497
As Ag
2 4
Cartesian
0.0000 4.1607 5.7259 As
0.0000 9.5388 1.2070 As
0.0000 6.6185 1.3535 Ag
0.0000 10.8860 3.6570 Ag
0.0000 7.0809 5.5794 Ag
0.0000 2.8135 3.2758 Ag
```

---

[6]
Here is a geometry-optimized AgAs3 structure from Alexandria via LeMat-Bulk. Energies are from PBE-GGA.

Computed properties:
Density ... 7.04 Mg/m³
Symmetry ... Pm-3n (223)
Electronic total energy ... -3.7167 eV/atom
ΔH_f (0 K) ... 0.483 eV/atom

Geometry as POSCAR:
```
AgAs3
1.0
5.3929 0.0000 0.0000
0.0000 5.3929 0.0000
0.0000 0.0000 5.3929
As Ag
6 2
Cartesian
0.0000 4.0447 2.6965 As
4.0447 2.6965 0.0000 As
0.0000 1.3482 2.6965 As
1.3482 2.6965 0.0000 As
2.6965 0.0000 1.3482 As
2.6965 0.0000 4.0447 As
0.0000 0.0000 0.0000 Ag
2.6965 2.6965 2.6965 Ag
```

---

[7]
Here is a geometry-optimized AgAs5 structure from Alexandria via LeMat-Bulk. Energies are from PBE-GGA.

Computed properties:
Density ... 6.01 Mg/m³
Symmetry ... Amm2 (38)
Electronic total energy ... -4.0711 eV/atom
ΔH_f (0 K) ... 0.279 eV/atom

Geometry as POSCAR:
```
AgAs5
1.0
2.2466 -8.1911 0.0000
2.2466 8.1911 0.0000
0.0000 0.0000 3.6222
As Ag
5 1
Cartesian
2.2466 -4.1195 1.8111 As
2.2466 2.3082 0.0000 As
2.2466 5.5484 1.8111 As
2.2466 0.5433 1.8111 As
2.2466 -2.2997 0.0000 As
2.2466 -7.4415 0.0000 Ag
```

---

[8]
Here is a geometry-optimized AgAs2Au structure from Alexandria via LeMat-Bulk. Energies are from PBE-GGA.

Computed properties:
Density ... 9.99 Mg/m³
Symmetry ... C2/m (12)
Electronic total energy ... -3.6328 eV/atom
ΔH_f (0 K) ... 0.224 eV/atom

Geometry as POSCAR:
```
AgAs2Au
1.0
5.2462 -0.0665 -0.0364
-3.2905 5.7940 0.0965
-0.0015 1.5283 2.5230
As Au Ag
2 1 1
Cartesian
-1.6460 3.6611 1.3097 As
0.0000 0.0000 0.0000 As
0.9779 2.8637 0.0301 Au
2.6224 0.7309 1.2433 Ag
```

---

[9]
Here is a geometry-optimized AgAsAu2 structure from Alexandria via LeMat-Bulk. Energies are from PBE-GGA.

Computed properties:
Density ... 12.98 Mg/m³
Symmetry ... Pmmm (47)
Electronic total energy ... -3.3880 eV/atom
ΔH_f (0 K) ... 0.126 eV/atom

Geometry as POSCAR:
```
AgAsAu2
1.0
-1.1932 1.6388 -2.4099
1.7177 -3.2856 -3.0847
-4.1505 -2.5019 0.3537
Au As Ag
2 1 1
Cartesian
0.2622 -0.8234 -2.7473 Au
0.0000 0.0000 0.0000 Au
-1.2164 -2.8937 -1.3655 As
-2.6718 -0.4315 -1.0281 Ag
```

---

[10]
Here is a geometry-optimized Ag2AsAu structure from Alexandria via LeMat-Bulk. Energies are from PBE-GGA.

Computed properties:
Density ... 11.00 Mg/m³
Symmetry ... Cmmm (65)
Electronic total energy ... -3.3067 eV/atom
ΔH_f (0 K) ... 0.101 eV/atom

Geometry as POSCAR:
```
Ag2AsAu
1.0
5.0677 0.1568 0.0000
-1.8125 4.7351 0.0000
0.0000 0.0000 3.0307
Ag As Au
2 1 1
Cartesian
1.6276 2.4459 0.0000 Ag
0.0000 0.0000 0.0000 Ag
2.5338 0.0784 1.5154 As
-0.9062 2.3675 1.5154 Au
```

---

[11]
Here is a geometry-optimized Ag2AsAu structure from Alexandria via LeMat-Bulk. Energies are from PBE-GGA.

Computed properties:
Density ... 11.05 Mg/m³
Symmetry ... I4/mmm (139)
Electronic total energy ... -3.3088 eV/atom
ΔH_f (0 K) ... 0.099 eV/atom

Geometry as POSCAR:
```
Ag2AsAu
1.0
5.2065 0.0001 0.0000
1.9440 4.8300 0.0000
-3.5752 -2.4150 2.9143
Au As Ag
1 1 2
Cartesian
2.6032 0.0000 1.4571 Au
0.9720 2.4150 1.4571 As
0.0000 0.0000 0.0000 Ag
3.5752 2.4150 0.0000 Ag
```

---

[12]
Here is a geometry-optimized Ag2AsAu2 structure from Alexandria via LeMat-Bulk. Energies are from PBE-GGA.

Computed properties:
Density ... 11.01 Mg/m³
Symmetry ... I4/mmm (139)
Electronic total energy ... -3.1111 eV/atom
ΔH_f (0 K) ... 0.270 eV/atom

Geometry as POSCAR:
```
Ag2AsAu2
1.0
-1.7068 -0.4363 -3.3244
0.0264 -3.7320 0.4763
-7.3414 -1.7104 1.8647
Au As Ag
2 1 2
Cartesian
-4.9442 -2.1155 -1.4419 Au
-4.0776 -3.7633 0.4585 Au
0.0000 0.0000 0.0000 As
-2.0664 -2.0137 -0.8038 Ag
-6.9554 -3.8651 -0.1797 Ag
```

---

[13]
Here is a geometry-optimized Ag8AsAu2 structure from Alexandria via LeMat-Bulk. Energies are from PBE-GGA.

Computed properties:
Density ... 10.47 Mg/m³
Symmetry ... C2/m (12)
Electronic total energy ... -2.9781 eV/atom
ΔH_f (0 K) ... 0.114 eV/atom

Geometry as POSCAR:
```
Ag8AsAu2
1.0
-0.1337 -4.0892 3.4629
4.1413 -1.1241 6.5708
-2.5472 2.4968 6.7191
Ag Au As
8 2 1
Cartesian
2.2150 -0.5852 6.2448 Ag
2.0417 -1.8222 9.8137 Ag
-0.7546 -2.1313 10.5080 Ag
-0.5813 -0.8943 6.9391 Ag
1.5812 -1.8173 3.7454 Ag
2.4264 -3.3960 6.2883 Ag
1.7173 0.5541 11.4400 Ag
-0.2568 -3.2706 5.3128 Ag
1.3659 0.7143 8.6345 Au
0.2282 0.6584 4.6554 Au
-0.0669 -2.0446 1.7315 As
```

---

[14]
Here is a geometry-optimized Ag2AsAu structure from Alexandria via LeMat-Bulk. Energies are from PBE-GGA.

Computed properties:
Density ... 10.92 Mg/m³
Symmetry ... F-43m (216)
Electronic total energy ... -3.2337 eV/atom
ΔH_f (0 K) ... 0.174 eV/atom

Geometry as POSCAR:
```
Ag2AsAu
1.0
4.7154 0.0000 0.0000
2.3577 4.0836 0.0000
2.3577 1.3612 3.8501
Au Ag As
1 2 1
Cartesian
7.0731 4.0836 2.8876 Au
2.3577 1.3612 0.9625 Ag
0.0000 0.0000 0.0000 Ag
4.7154 2.7224 1.9250 As
```